DFT (PBE) results for an optimized crystal structure of Mo3HPd.

Lattice parameters (Å, degrees): 4.008 4.008 4.008 90.00 90.00 90.00
Positions (direct):
Mo 0.000 0.000 0.500
Mo 0.000 0.500 0.000
Mo 0.500 0.000 0.000
H 0.000 0.000 0.000
Pd 0.500 0.500 0.500

* mass density: 10.19 g cm⁻³
* distance to the lowest polymorph of the same formula: 0.00 eV per formula unit
* SG: Pm-3m


DFT (PBE) results for an optimized crystal structure of Be17FeRe.

Lattice parameters (Å, degrees): 5.432 5.432 5.432 82.85 82.85 82.85
Positions (direct):
Be 0.050 0.050 0.050
Be 0.151 0.463 0.850
Be 0.151 0.850 0.463
Be 0.161 0.161 0.652
Be 0.161 0.652 0.161
Be 0.256 0.256 0.256
Be 0.315 0.805 0.805
Be 0.463 0.151 0.850
Be 0.463 0.850 0.151
Be 0.505 0.505 0.990
Be 0.505 0.990 0.505
Be 0.652 0.161 0.161
Be 0.805 0.315 0.805
Be 0.805 0.805 0.315
Be 0.850 0.151 0.463
Be 0.850 0.463 0.151
Be 0.990 0.505 0.505
Fe 0.811 0.811 0.811
Re 0.493 0.493 0.493

* mass density: 4.18 g cm⁻³
* energy relative to the elements: -101.7 meV per atom
* SG: R3m


DFT (PBE) results for an optimized crystal structure of P2C.

Lattice parameters (Å, degrees): 2.767 3.120 6.822 90.00 90.00 90.00
Positions (direct):
P 0.000 0.000 0.000
P 0.500 0.000 0.410
C 0.000 0.000 0.253

* mass density: 2.09 g cm⁻³
* distance to the lowest polymorph of the same formula: 0.43 eV per formula unit
* energy relative to the elements: 572.9 meV per atom
* SG: Pmm2


DFT (PBE) results for an optimized crystal structure of ErMgP2Ir5.

Lattice parameters (Å, degrees): 3.948 3.948 10.705 90.00 90.00 90.00
Positions (direct):
Er 0.000 0.000 0.000
Mg 0.000 0.000 0.500
P 0.500 0.500 0.213
P 0.500 0.500 0.787
Ir 0.000 0.500 0.321
Ir 0.000 0.500 0.679
Ir 0.500 0.000 0.321
Ir 0.500 0.000 0.679
Ir 0.500 0.500 0.000

* mass density: 12.09 g cm⁻³
* energy relative to the elements: -380.7 meV per atom
* SG: P4/mmm


DFT (PBE) results for an optimized crystal structure of SmCd6Hg.

Lattice parameters (Å, degrees): 4.847 6.083 13.122 90.00 90.00 90.00
Positions (direct):
Sm 0.000 0.000 0.000
Sm 0.000 0.500 0.500
Cd 0.000 0.237 0.728
Cd 0.000 0.263 0.228
Cd 0.000 0.737 0.228
Cd 0.000 0.763 0.728
Cd 0.500 0.000 0.164
Cd 0.500 0.000 0.594
Cd 0.500 0.238 0.873
Cd 0.500 0.262 0.373
Cd 0.500 0.500 0.094
Cd 0.500 0.500 0.664
Cd 0.500 0.738 0.373
Cd 0.500 0.762 0.873
Hg 0.000 0.000 0.438
Hg 0.000 0.500 0.938

* mass density: 8.80 g cm⁻³
* energy relative to the elements: -120.8 meV per atom
* SG: Amm2


DFT (PBE) results for an optimized crystal structure of Tm2Zn2GePd5.

Lattice parameters (Å, degrees): 9.650 9.650 3.718 90.00 90.00 90.00
Positions (direct):
Tm 0.176 0.324 0.000
Tm 0.324 0.824 0.000
Tm 0.676 0.176 0.000
Tm 0.824 0.676 0.000
Zn 0.122 0.622 0.000
Zn 0.378 0.122 0.000
Zn 0.622 0.878 0.000
Zn 0.878 0.378 0.000
Ge 0.000 0.000 0.000
Ge 0.500 0.500 0.000
Pd 0.000 0.500 0.500
Pd 0.067 0.798 0.500
Pd 0.202 0.067 0.500
Pd 0.298 0.567 0.500
Pd 0.433 0.298 0.500
Pd 0.500 0.000 0.500
Pd 0.567 0.702 0.500
Pd 0.702 0.433 0.500
Pd 0.798 0.933 0.500
Pd 0.933 0.202 0.500

* mass density: 10.30 g cm⁻³
* energy relative to the elements: -670.7 meV per atom
* SG: P4/mbm


DFT (PBE) results for an optimized crystal structure of ZrPaH2O6.

Lattice parameters (Å, degrees): 5.211 5.288 5.857 63.79 67.36 65.05
Positions (direct):
Zr 0.000 0.000 0.000
Pa 0.500 0.500 0.500
H 0.097 0.296 0.230
H 0.903 0.704 0.770
O 0.073 0.751 0.757
O 0.252 0.617 0.239
O 0.368 0.125 0.746
O 0.632 0.875 0.254
O 0.748 0.383 0.761
O 0.927 0.249 0.243

* mass density: 5.48 g cm⁻³
* total energy: -78.27 eV per cell
* SG: P-1


DFT (PBE) results for an optimized crystal structure of Tl2ReRu.

Lattice parameters (Å, degrees): 4.152 4.152 8.588 90.00 90.00 90.00
Positions (direct):
Tl 0.000 0.000 0.000
Tl 0.000 0.500 0.250
Tl 0.500 0.000 0.750
Tl 0.500 0.500 0.500
Re 0.000 0.500 0.750
Re 0.500 0.000 0.250
Ru 0.000 0.000 0.500
Ru 0.500 0.500 0.000

* mass density: 15.61 g cm⁻³
* distance to the lowest polymorph of the same formula: 2.69 eV per formula unit
* energy relative to the elements: 1107.0 meV per atom
* SG: I-4m2


DFT (PBE) results for an optimized crystal structure of YAg2CSe.

Lattice parameters (Å, degrees): 5.839 5.839 5.245 90.00 90.00 90.00
Positions (direct):
Y 0.000 0.000 0.000
Ag 0.000 0.500 0.000
Ag 0.500 0.000 0.000
C 0.500 0.500 0.500
Se 0.000 0.000 0.500

* mass density: 3.67 g cm⁻³
* energy relative to the elements, uncorrected: 8.516 eV/f.u.
* SG: P4/mmm


DFT (PBE) results for an optimized crystal structure of Tb3PmY.

Lattice parameters (Å, degrees): 8.237 8.237 8.237 134.53 113.92 83.87
Positions (direct):
Tb 0.000 0.000 0.500
Tb 0.000 0.500 0.000
Tb 0.271 0.205 0.066
Tb 0.361 0.795 0.566
Tb 0.639 0.205 0.434
Tb 0.729 0.795 0.934
Pm 0.231 0.981 0.250
Pm 0.769 0.019 0.750
Y 0.000 0.500 0.500
Y 0.500 0.500 0.000

* mass density: 6.74 g cm⁻³
* distance to the lowest polymorph of the same formula: 1.75 eV per formula unit
* energy relative to the elements: 364.4 meV per atom
* SG: Imma


DFT (PBE) results for an optimized crystal structure of Ho2GaHg2.

Lattice parameters (Å, degrees): 3.476 20.779 3.413 90.00 90.00 90.00
Positions (direct):
Ho 0.000 0.091 0.000
Ho 0.000 0.909 0.000
Ho 0.500 0.409 0.000
Ho 0.500 0.591 0.000
Ga 0.000 0.500 0.500
Ga 0.500 0.000 0.500
Hg 0.000 0.310 0.500
Hg 0.000 0.690 0.500
Hg 0.500 0.190 0.500
Hg 0.500 0.810 0.500

* mass density: 10.79 g cm⁻³
* distance to the lowest polymorph of the same formula: 0.30 eV per formula unit
* energy relative to the elements: -393.6 meV per atom
* SG: Cmmm


DFT (PBE) results for an optimized crystal structure of Ta2BAs.

Lattice parameters (Å, degrees): 6.139 6.139 6.139 90.00 90.00 90.00
Positions (direct):
Ta 0.250 0.250 0.250
Ta 0.250 0.250 0.750
Ta 0.250 0.750 0.250
Ta 0.250 0.750 0.750
Ta 0.750 0.250 0.250
Ta 0.750 0.250 0.750
Ta 0.750 0.750 0.250
Ta 0.750 0.750 0.750
B 0.000 0.000 0.000
B 0.000 0.500 0.500
B 0.500 0.000 0.500
B 0.500 0.500 0.000
As 0.000 0.000 0.500
As 0.000 0.500 0.000
As 0.500 0.000 0.000
As 0.500 0.500 0.500

* mass density: 12.85 g cm⁻³
* distance to the lowest polymorph of the same formula: 0.00 eV per formula unit
* energy relative to the elements: 202.7 meV per atom
* SG: Fm-3m


DFT (PBE) results for an optimized crystal structure of RbSiGe2W.

Lattice parameters (Å, degrees): 4.959 4.959 6.436 90.00 90.00 90.00
Positions (direct):
Rb 0.000 0.000 0.000
Si 0.500 0.500 0.000
Ge 0.000 0.500 0.500
Ge 0.500 0.000 0.500
W 0.000 0.000 0.500

* mass density: 4.64 g cm⁻³
* energy relative to the elements, uncorrected: 6.328 eV/f.u.
* SG: P4/mmm


DFT (PBE) results for an optimized crystal structure of SrInCl3.

Lattice parameters (Å, degrees): 5.663 5.663 5.663 90.00 90.00 90.00
Positions (direct):
Sr 0.000 0.000 0.000
In 0.500 0.500 0.500
Cl 0.000 0.000 0.500
Cl 0.000 0.500 0.000
Cl 0.500 0.000 0.000

* mass density: 2.82 g cm⁻³
* energy relative to the elements, uncorrected: -8.537 eV/f.u.
* SG: Pm-3m


DFT (PBE) results for an optimized crystal structure of La2TaGeI.

Lattice parameters (Å, degrees): 5.886 5.886 5.028 90.00 90.00 90.00
Positions (direct):
La 0.000 0.500 0.000
La 0.500 0.000 0.000
Ta 0.000 0.000 0.500
Ge 0.500 0.500 0.500
I 0.000 0.000 0.000

* mass density: 6.27 g cm⁻³
* energy relative to the elements, uncorrected: 3.826 eV/f.u.
* SG: P4/mmm


DFT (PBE) results for an optimized crystal structure of LaHoLuTh.

Lattice parameters (Å, degrees): 8.043 8.043 8.043 90.00 90.00 90.00
Positions (direct):
La 0.000 0.000 0.000
La 0.000 0.500 0.500
La 0.500 0.000 0.500
La 0.500 0.500 0.000
Ho 0.250 0.250 0.750
Ho 0.250 0.750 0.250
Ho 0.750 0.250 0.250
Ho 0.750 0.750 0.750
Lu 0.250 0.250 0.250
Lu 0.250 0.750 0.750
Lu 0.750 0.250 0.750
Lu 0.750 0.750 0.250
Th 0.000 0.000 0.500
Th 0.000 0.500 0.000
Th 0.500 0.000 0.000
Th 0.500 0.500 0.500

* mass density: 9.07 g cm⁻³
* energy relative to the elements: 100.5 meV per atom
* SG: F-43m


DFT (PBE) results for an optimized crystal structure of TcSeO4.

Lattice parameters (Å, degrees): 6.618 6.618 4.717 90.00 90.00 90.00
Positions (direct):
Tc 0.000 0.000 0.000
Tc 0.500 0.500 0.500
Se 0.000 0.500 0.250
Se 0.500 0.000 0.750
O 0.095 0.200 0.221
O 0.200 0.905 0.779
O 0.300 0.595 0.279
O 0.405 0.300 0.721
O 0.595 0.700 0.721
O 0.700 0.405 0.279
O 0.800 0.095 0.779
O 0.905 0.800 0.221

* mass density: 3.87 g cm⁻³
* distance to the lowest polymorph of the same formula: 0.63 eV per formula unit
* energy relative to the elements, uncorrected: -4.875 eV/f.u.
* SG: I-4


DFT (PBE) results for an optimized crystal structure of LiIn2Tc.

Lattice parameters (Å, degrees): 4.592 4.592 3.332 90.00 90.00 90.00
Positions (direct):
Li 0.000 0.000 0.000
In 0.000 0.500 0.500
In 0.500 0.000 0.500
Tc 0.500 0.500 0.000

* mass density: 7.91 g cm⁻³
* distance to the lowest polymorph of the same formula: 0.00 eV per formula unit
* energy relative to the elements: 9.9 meV per atom
* SG: P4/mmm


DFT (PBE) results for an optimized crystal structure of FeTe2W.

Lattice parameters (Å, degrees): 3.399 3.399 26.635 90.00 90.00 120.00
Positions (direct):
Fe 0.000 0.000 0.000
Fe 0.333 0.667 0.667
Fe 0.667 0.333 0.333
Te 0.000 0.000 0.095
Te 0.000 0.000 0.905
Te 0.333 0.667 0.572
Te 0.333 0.667 0.761
Te 0.667 0.333 0.239
Te 0.667 0.333 0.428
W 0.000 0.000 0.500
W 0.333 0.667 0.167
W 0.667 0.333 0.833

* mass density: 9.25 g cm⁻³
* distance to the lowest polymorph of the same formula: 2.76 eV per formula unit
* energy relative to the elements, uncorrected: 2.614 eV/f.u.
* SG: R-3m


DFT (PBE) results for an optimized crystal structure of TbPm2Ge.

Lattice parameters (Å, degrees): 4.087 4.087 6.691 90.00 90.00 90.00
Positions (direct):
Tb 0.000 0.000 0.000
Pm 0.500 0.500 0.280
Pm 0.500 0.500 0.720
Ge 0.000 0.000 0.500

* mass density: 7.75 g cm⁻³
* distance to the lowest polymorph of the same formula: 0.10 eV per formula unit
* energy relative to the elements: -312.5 meV per atom
* SG: P4/mmm